{
  "formula": "WCF2",
  "functional": "PBE with a Hubbard U",
  "state": "relaxed",
  "rho_g_cm3": 9.7,
  "sg": "I-42d",
  "final_energy_ev_per_cell": -40.7,
  "vol_a3_per_atom": 10.03,
  "lattice_angstrom": [[3.182, 0.000, 0.000], [0.000, 3.182, 0.000], [1.591, 1.591, 7.930]],
  "species": ["C", "C", "W", "W", "F", "F", "F", "F"],
  "frac_coords": [[0.500, 0.500, 0.000], [0.250, 0.750, 0.500], [0.000, 0.000, 0.000], [0.750, 0.250, 0.500], [0.645, 0.125, 0.250], [0.105, 0.625, 0.250], [0.375, 0.355, 0.750], [0.875, 0.895, 0.750]]
}